*a*
Below is BePt5 after structural relaxation, with properties calculated at the PBEsol level.

Geometry as CIF:
```
data_BePt5
_chemical_formula_sum 'Be2 Pt10'
_space_group_name_H-M_alt 'C m m m'
_space_group_IT_number 65
_space_group_name_Hall '-C 2 2'
_cell_length_a 2.7140
_cell_length_b 13.8562
_cell_length_c 4.5681
_cell_angle_alpha 90.00
_cell_angle_beta 90.00
_cell_angle_gamma 90.00
loop_
_atom_site_label
_atom_site_fract_x
_atom_site_fract_y
_atom_site_fract_z
Be1 0.0000 0.0000 0.0000
Pt1 0.0000 0.1669 0.5000
Pt2 0.0000 0.3591 0.0000
Pt3 0.0000 0.5000 0.5000
```

The value obtained for the total magnetization is 0.00 μB per atom.

---

*b*
Below is BePt5 after structural relaxation, with properties calculated at the PBEsol level.

Geometry as CIF:
```
data_BePt5
_chemical_formula_sum 'Be2 Pt10'
_space_group_name_H-M_alt 'C 1 2/m 1'
_space_group_IT_number 12
_space_group_name_Hall '-C 2y'
_cell_length_a 9.4190
_cell_length_b 2.7311
_cell_length_c 6.9851
_cell_angle_alpha 90.00
_cell_angle_beta 111.81
_cell_angle_gamma 90.00
loop_
_atom_site_label
_atom_site_fract_x
_atom_site_fract_y
_atom_site_fract_z
Be1 0.0000 0.0000 0.0000
Pt1 0.0000 0.0000 0.5000
Pt2 0.1375 0.5000 0.8562
Pt3 0.1711 0.5000 0.3059
```

The value obtained for the total magnetization is 0.00 μB per atom.

---

*b* wins, 28 meV per atom ahead of the next structure.

---

*a*
Below is Ca2Mg3Zn after structural relaxation, with properties calculated at the PBEsol level.

Geometry as CIF:
```
data_Ca2Mg3Zn
_chemical_formula_sum 'Ca6 Mg9 Zn3'
_space_group_name_H-M_alt 'R -3 m'
_space_group_IT_number 166
_space_group_name_Hall '-R 3 2"'
_cell_length_a 6.0186
_cell_length_b 6.0186
_cell_length_c 14.5004
_cell_angle_alpha 90.00
_cell_angle_beta 90.00
_cell_angle_gamma 120.00
loop_
_atom_site_label
_atom_site_fract_x
_atom_site_fract_y
_atom_site_fract_z
Ca1 0.0000 0.0000 0.1265
Mg1 0.0000 0.5000 0.0000
Zn1 0.0000 0.0000 0.5000
```

The value obtained for the total magnetization is 0.00 μB per atom.

---

*b*
Below is Ca2Mg3Zn after structural relaxation, with properties calculated at the PBEsol level.

Geometry as CIF:
```
data_Ca2Mg3Zn
_chemical_formula_sum 'Ca4 Mg6 Zn2'
_space_group_name_H-M_alt 'P 63/m m c'
_space_group_IT_number 194
_space_group_name_Hall '-P 6c 2c'
_cell_length_a 6.0659
_cell_length_b 6.0659
_cell_length_c 9.4469
_cell_angle_alpha 90.00
_cell_angle_beta 90.00
_cell_angle_gamma 120.00
loop_
_atom_site_label
_atom_site_fract_x
_atom_site_fract_y
_atom_site_fract_z
Ca1 0.3333 0.6667 0.0587
Mg1 0.1642 0.3284 0.7500
Zn1 0.0000 0.0000 0.0000
```

The value obtained for the total magnetization is 0.00 μB per atom.

---

*b* wins, 10 meV per atom ahead of the next structure.

---

*a*
Below is IrRh2 after structural relaxation, with properties calculated at the PBEsol level.

Geometry as CIF:
```
data_IrRh2
_chemical_formula_sum 'Ir2 Rh4'
_space_group_name_H-M_alt 'I m m m'
_space_group_IT_number 71
_space_group_name_Hall '-I 2 2'
_cell_length_a 2.6852
_cell_length_b 3.7934
_cell_length_c 8.0340
_cell_angle_alpha 90.00
_cell_angle_beta 90.00
_cell_angle_gamma 90.00
loop_
_atom_site_label
_atom_site_fract_x
_atom_site_fract_y
_atom_site_fract_z
Ir1 0.0000 0.0000 0.0000
Rh1 0.0000 0.0000 0.3348
```

The value obtained for the total magnetization is 0.00 μB per atom.

---

*b*
Below is IrRh2 after structural relaxation, with properties calculated at the PBEsol level.

Geometry as CIF:
```
data_IrRh2
_chemical_formula_sum 'Ir4 Rh8'
_space_group_name_H-M_alt 'P n m a'
_space_group_IT_number 62
_space_group_name_Hall '-P 2ac 2n'
_cell_length_a 5.3646
_cell_length_b 3.7925
_cell_length_c 8.0465
_cell_angle_alpha 90.00
_cell_angle_beta 90.00
_cell_angle_gamma 90.00
loop_
_atom_site_label
_atom_site_fract_x
_atom_site_fract_y
_atom_site_fract_z
Ir1 0.1251 0.2500 0.0815
Rh1 0.1248 0.2500 0.4164
Rh2 0.1256 0.2500 0.7517
```

The value obtained for the total magnetization is 0.00 μB per atom.

---

*a* wins, 6 meV per atom ahead of the next structure.

---

*a*
Below is OsAu2Cl after structural relaxation, with properties calculated at the PBEsol level.

Geometry as CIF:
```
data_OsAu2Cl
_chemical_formula_sum 'Os2 Au4 Cl2'
_space_group_name_H-M_alt 'I m m m'
_space_group_IT_number 71
_space_group_name_Hall '-I 2 2'
_cell_length_a 2.7514
_cell_length_b 4.1423
_cell_length_c 12.3762
_cell_angle_alpha 90.00
_cell_angle_beta 90.00
_cell_angle_gamma 90.00
loop_
_atom_site_label
_atom_site_fract_x
_atom_site_fract_y
_atom_site_fract_z
Os1 0.0000 0.0000 0.0000
Au1 0.0000 0.5000 0.3063
Cl1 0.0000 0.0000 0.5000
```

The value obtained for the total magnetization is 0.00 μB per atom.

---

*b*
Below is OsAu2Cl after structural relaxation, with properties calculated at the PBEsol level.

Geometry as CIF:
```
data_OsAu2Cl
_chemical_formula_sum 'Os2 Au4 Cl2'
_space_group_name_H-M_alt 'C m m m'
_space_group_IT_number 65
_space_group_name_Hall '-C 2 2'
_cell_length_a 2.8354
_cell_length_b 5.0870
_cell_length_c 9.1158
_cell_angle_alpha 90.00
_cell_angle_beta 90.00
_cell_angle_gamma 90.00
loop_
_atom_site_label
_atom_site_fract_x
_atom_site_fract_y
_atom_site_fract_z
Os1 0.0000 0.0000 0.0000
Au1 0.0000 0.5000 0.2512
Cl1 0.0000 0.0000 0.5000
```

The value obtained for the total magnetization is 0.18 μB per atom.

---

*b* wins, 93 meV per atom ahead of the next structure.

---

*a*
Below is TcIrW2 after structural relaxation, with properties calculated at the PBEsol level.

Geometry as CIF:
```
data_TcIrW2
_chemical_formula_sum 'Tc1 Ir1 W2'
_space_group_name_H-M_alt 'P 4/m m m'
_space_group_IT_number 123
_space_group_name_Hall '-P 4 2'
_cell_length_a 3.9164
_cell_length_b 3.9164
_cell_length_c 3.8682
_cell_angle_alpha 90.00
_cell_angle_beta 90.00
_cell_angle_gamma 90.00
loop_
_atom_site_label
_atom_site_fract_x
_atom_site_fract_y
_atom_site_fract_z
Tc1 0.0000 0.0000 0.0000
Ir1 0.5000 0.5000 0.0000
W1 0.0000 0.5000 0.5000
```

The value obtained for the total magnetization is 0.00 μB per atom.

---

*b*
Below is TcIrW2 after structural relaxation, with properties calculated at the PBEsol level.

Geometry as CIF:
```
data_TcIrW2
_chemical_formula_sum 'Tc1 Ir1 W2'
_space_group_name_H-M_alt 'P m m m'
_space_group_IT_number 47
_space_group_name_Hall '-P 2 2'
_cell_length_a 2.7563
_cell_length_b 3.8767
_cell_length_c 5.5599
_cell_angle_alpha 90.00
_cell_angle_beta 90.00
_cell_angle_gamma 90.00
loop_
_atom_site_label
_atom_site_fract_x
_atom_site_fract_y
_atom_site_fract_z
Tc1 0.0000 0.0000 0.0000
Ir1 0.0000 0.0000 0.5000
W1 0.5000 0.5000 0.2483
```

The value obtained for the total magnetization is 0.00 μB per atom.

---

*a* wins, 39 meV per atom ahead of the next structure.

---

*a*
Below is LiAgPt2 after structural relaxation, with properties calculated at the PBEsol level.

Geometry as CIF:
```
data_LiAgPt2
_chemical_formula_sum 'Li3 Ag3 Pt6'
_space_group_name_H-M_alt 'R -3 m'
_space_group_IT_number 166
_space_group_name_Hall '-R 3 2"'
_cell_length_a 2.7287
_cell_length_b 2.7287
_cell_length_c 27.1584
_cell_angle_alpha 90.00
_cell_angle_beta 90.00
_cell_angle_gamma 120.00
loop_
_atom_site_label
_atom_site_fract_x
_atom_site_fract_y
_atom_site_fract_z
Li1 0.0000 0.0000 0.0000
Ag1 0.0000 0.0000 0.5000
Pt1 0.0000 0.0000 0.2550
```

The value obtained for the total magnetization is 0.00 μB per atom.

---

*b*
Below is LiAgPt2 after structural relaxation, with properties calculated at the PBEsol level.

Geometry as CIF:
```
data_LiAgPt2
_chemical_formula_sum 'Li2 Ag2 Pt4'
_space_group_name_H-M_alt 'I m m m'
_space_group_IT_number 71
_space_group_name_Hall '-I 2 2'
_cell_length_a 2.7873
_cell_length_b 4.5729
_cell_length_c 9.1526
_cell_angle_alpha 90.00
_cell_angle_beta 90.00
_cell_angle_gamma 90.00
loop_
_atom_site_label
_atom_site_fract_x
_atom_site_fract_y
_atom_site_fract_z
Li1 0.0000 0.0000 0.0000
Ag1 0.0000 0.0000 0.5000
Pt1 0.0000 0.5000 0.2616
```

The value obtained for the total magnetization is 0.00 μB per atom.

---

*a* wins, 19 meV per atom ahead of the next structure.

---

*a*
Below is Sb2PbCl after structural relaxation, with properties calculated at the PBEsol level.

Geometry as CIF:
```
data_Sb2PbCl
_chemical_formula_sum 'Sb6 Pb3 Cl3'
_space_group_name_H-M_alt 'R 3 m'
_space_group_IT_number 160
_space_group_name_Hall 'R 3 -2"'
_cell_length_a 3.9488
_cell_length_b 3.9488
_cell_length_c 26.2782
_cell_angle_alpha 90.00
_cell_angle_beta 90.00
_cell_angle_gamma 120.00
loop_
_atom_site_label
_atom_site_fract_x
_atom_site_fract_y
_atom_site_fract_z
Sb1 0.0000 0.0000 0.0000
Sb2 0.0000 0.0000 0.2666
Pb1 0.0000 0.0000 0.7632
Cl1 0.0000 0.0000 0.5034
```

The value obtained for the total magnetization is 0.00 μB per atom.

---

*b*
Below is Sb2PbCl after structural relaxation, with properties calculated at the PBEsol level.

Geometry as CIF:
```
data_Sb2PbCl
_chemical_formula_sum 'Sb2 Pb1 Cl1'
_space_group_name_H-M_alt 'P 4/m m m'
_space_group_IT_number 123
_space_group_name_Hall '-P 4 2'
_cell_length_a 3.3131
_cell_length_b 3.3131
_cell_length_c 9.3057
_cell_angle_alpha 90.00
_cell_angle_beta 90.00
_cell_angle_gamma 90.00
loop_
_atom_site_label
_atom_site_fract_x
_atom_site_fract_y
_atom_site_fract_z
Sb1 0.0000 0.0000 0.2354
Pb1 0.5000 0.5000 0.5000
Cl1 0.5000 0.5000 0.0000
```

The value obtained for the total magnetization is 0.00 μB per atom.

---

*a* wins, 215 meV per atom ahead of the next structure.

---

*a*
Below is PtBrCl2 after structural relaxation, with properties calculated at the PBEsol level.

Geometry as CIF:
```
data_PtBrCl2
_chemical_formula_sum 'Pt4 Br4 Cl8'
_space_group_name_H-M_alt 'F m -3 m'
_space_group_IT_number 225
_space_group_name_Hall '-F 4 2 3'
_cell_length_a 6.6500
_cell_length_b 6.6500
_cell_length_c 6.6500
_cell_angle_alpha 90.00
_cell_angle_beta 90.00
_cell_angle_gamma 90.00
loop_
_atom_site_label
_atom_site_fract_x
_atom_site_fract_y
_atom_site_fract_z
Pt1 0.0000 0.0000 0.0000
Br1 0.0000 0.0000 0.5000
Cl1 0.2500 0.2500 0.2500
```

The value obtained for the total magnetization is 0.00 μB per atom.

---

*b*
Below is PtBrCl2 after structural relaxation, with properties calculated at the PBEsol level.

Geometry as CIF:
```
data_PtBrCl2
_chemical_formula_sum 'Pt1 Br1 Cl2'
_space_group_name_H-M_alt 'P 4 m m'
_space_group_IT_number 99
_space_group_name_Hall 'P 4 -2'
_cell_length_a 3.1666
_cell_length_b 3.1666
_cell_length_c 7.9272
_cell_angle_alpha 90.00
_cell_angle_beta 90.00
_cell_angle_gamma 90.00
loop_
_atom_site_label
_atom_site_fract_x
_atom_site_fract_y
_atom_site_fract_z
Pt1 0.0000 0.0000 0.0000
Br1 0.5000 0.5000 0.2037
Cl1 0.0000 0.0000 0.4715
Cl2 0.5000 0.5000 0.8082
```

The value obtained for the total magnetization is 0.13 μB per atom.

---

*b* wins, 291 meV per atom ahead of the next structure.